No. 1
# GGA-PBE Rb4La3HfO8, optimized geometry
# E: -6.808 eV per atom
# Formation energy (no corrections): -2541 meV/atom
data_Rb4La3HfO8
_chemical_formula_sum 'Rb12 La9 Hf3 O24'
_cell_length_a 7.3054
_cell_length_b 7.3054
_cell_length_c 19.8930
_cell_angle_alpha 90.00
_cell_angle_beta 90.00
_cell_angle_gamma 120.00
_symmetry_space_group_name_H-M 'R -3 m'
_symmetry_Int_Tables_number 166
_symmetry_space_group_name_Hall '-R 3 2"'
loop_
_atom_site_label
_atom_site_type_symbol
_atom_site_fract_x
_atom_site_fract_y
_atom_site_fract_z
Rb1 Rb 0.0000 0.0000 0.0000
Rb2 Rb 0.0000 0.5000 0.0000
La1 La 0.0000 0.5000 0.5000
Hf1 Hf 0.0000 0.0000 0.5000
O1 O 0.0000 0.0000 0.2253
O2 O 0.0405 0.5203 0.2228

No. 2
# GGA-PBE Y2PuB6, optimized geometry
# ΔH_f (0 K): -470 meV per atom
# E: -7.951 eV per atom
data_Y2PuB6
_chemical_formula_sum 'Y2 Pu1 B6'
_cell_length_a 5.6517
_cell_length_b 5.6517
_cell_length_c 3.9168
_cell_angle_alpha 90.00
_cell_angle_beta 90.00
_cell_angle_gamma 120.00
_symmetry_space_group_name_H-M 'P 6/m m m'
_symmetry_Int_Tables_number 191
_symmetry_space_group_name_Hall '-P 6 2'
loop_
_atom_site_label
_atom_site_type_symbol
_atom_site_fract_x
_atom_site_fract_y
_atom_site_fract_z
Y1 Y 0.3333 0.6667 0.0000
Pu1 Pu 0.0000 0.0000 0.0000
B1 B 0.0000 0.3306 0.5000

No. 3
# GGA-PBE MgCo2Au, optimized geometry
# ΔH_f (0 K): 61 meV per atom
# E: -4.710 eV per atom
data_MgCo2Au
_chemical_formula_sum 'Mg2 Co4 Au2'
_cell_length_a 3.7487
_cell_length_b 3.7487
_cell_length_c 8.0931
_cell_angle_alpha 90.00
_cell_angle_beta 90.00
_cell_angle_gamma 90.00
_symmetry_space_group_name_H-M 'I 4/m m m'
_symmetry_Int_Tables_number 139
_symmetry_space_group_name_Hall '-I 4 2'
loop_
_atom_site_label
_atom_site_type_symbol
_atom_site_fract_x
_atom_site_fract_y
_atom_site_fract_z
Mg1 Mg 0.0000 0.0000 0.0000
Co1 Co 0.0000 0.5000 0.2500
Au1 Au 0.0000 0.0000 0.5000

No. 4
# GGA-PBE YMg2Ti, optimized geometry
# ΔH_f (0 K): 119 meV per atom
# E: -4.268 eV per atom
data_YMg2Ti
_chemical_formula_sum 'Y1 Mg2 Ti1'
_cell_length_a 3.5436
_cell_length_b 3.5436
_cell_length_c 7.3293
_cell_angle_alpha 90.00
_cell_angle_beta 90.00
_cell_angle_gamma 90.00
_symmetry_space_group_name_H-M 'P 4/m m m'
_symmetry_Int_Tables_number 123
_symmetry_space_group_name_Hall '-P 4 2'
loop_
_atom_site_label
_atom_site_type_symbol
_atom_site_fract_x
_atom_site_fract_y
_atom_site_fract_z
Y1 Y 0.0000 0.0000 0.0000
Mg1 Mg 0.5000 0.5000 0.2847
Ti1 Ti 0.0000 0.0000 0.5000